(1)
Material: NdNi4Au
Method: DFT, PBE
State: optimized geometry

Summary:
N(E_F): 6.9 states/eV/f.u.
raw total energy: -5.487 eV/atom
calculated density: 10.725 g cm⁻³
magnetization: 1.389 μB per formula unit

Lattice parameters (Å, degrees): 5.0149 5.0149 5.0149 60.00 60.00 60.00
Closest atoms and distances in Å follow each position.
Sites, in units of the cell vectors:
Nd (0.0000, 0.0000, 0.0000)  12 Ni 2.94, 4 Au 3.07
Ni (0.3760, 0.3760, 0.3760)  6 Ni 2.49-2.53
Ni (0.3760, 0.3760, 0.8721)  6 Ni 2.49-2.53
Ni (0.3760, 0.8721, 0.3760)  6 Ni 2.49-2.53
Ni (0.8721, 0.3760, 0.3760)  6 Ni 2.49-2.53
Au (0.7500, 0.7500, 0.7500)  12 Ni 2.94, 4 Nd 3.07


(2)
Material: NdNiPbAu
Method: DFT, PBE
State: optimized geometry

Summary:
N(E_F): 3.8 states/eV/f.u.
raw total energy: -4.704 eV/atom
calculated density: 11.426 g cm⁻³
magnetization: 0.000 μB per formula unit

Lattice parameters (Å, degrees): 7.0669 7.0669 7.0669 90.00 90.00 90.00
Closest atoms and distances in Å follow each position.
Sites, in units of the cell vectors:
Nd (0.0000, 0.0000, 0.0000)  4 Ni 3.06, 4 Au 3.06
Nd (0.0000, 0.5000, 0.5000)  4 Ni 3.06, 4 Au 3.06
Nd (0.5000, 0.0000, 0.5000)  4 Ni 3.06, 4 Au 3.06
Nd (0.5000, 0.5000, 0.0000)  4 Ni 3.06, 4 Au 3.06
Ni (0.2500, 0.2500, 0.7500)  4 Pb 3.06, 4 Nd 3.06
Ni (0.2500, 0.7500, 0.2500)  4 Pb 3.06, 4 Nd 3.06
Ni (0.7500, 0.2500, 0.2500)  4 Pb 3.06, 4 Nd 3.06
Ni (0.7500, 0.7500, 0.7500)  4 Pb 3.06, 4 Nd 3.06
Pb (0.0000, 0.0000, 0.5000)  4 Ni 3.06, 4 Au 3.06
Pb (0.0000, 0.5000, 0.0000)  4 Au 3.06, 4 Ni 3.06
Pb (0.5000, 0.0000, 0.0000)  4 Au 3.06, 4 Ni 3.06
Pb (0.5000, 0.5000, 0.5000)  4 Au 3.06, 4 Ni 3.06
Au (0.2500, 0.2500, 0.2500)  4 Pb 3.06, 4 Nd 3.06
Au (0.2500, 0.7500, 0.7500)  4 Pb 3.06, 4 Nd 3.06
Au (0.7500, 0.2500, 0.7500)  4 Pb 3.06, 4 Nd 3.06
Au (0.7500, 0.7500, 0.2500)  4 Pb 3.06, 4 Nd 3.06


(3)
Material: PrNdNiAu
Method: DFT, PBE
State: optimized geometry

Summary:
N(E_F): 3.3 states/eV/f.u.
distance to the lowest polymorph of the same formula: 0.000 eV per atom
raw total energy: -5.172 eV/atom
calculated density: 9.043 g cm⁻³
magnetization: 0.000 μB per formula unit

Lattice parameters (Å, degrees): 4.6275 3.9532 10.8566 90.00 90.00 90.00
Closest atoms and distances in Å follow each position.
Sites, in units of the cell vectors:
Pr (0.0000, 0.0000, 0.0000)  3 Ni 3.04-3.10, 4 Au 3.12
Pr (0.0000, 0.5000, 0.5000)  3 Ni 3.04-3.10, 4 Au 3.12
Nd (0.5000, 0.0000, 0.7216)  3 Au 3.05-3.11, 4 Ni 3.11
Nd (0.5000, 0.5000, 0.2216)  3 Au 3.05-3.11, 4 Ni 3.11
Ni (0.0000, 0.0000, 0.2796)  2 Au 2.87, 3 Pr 3.04-3.10, 4 Nd 3.11
Ni (0.0000, 0.5000, 0.7796)  2 Au 2.87, 3 Pr 3.04-3.10, 4 Nd 3.11
Au (0.5000, 0.0000, 0.4355)  2 Ni 2.87, 3 Nd 3.05-3.11, 4 Pr 3.12
Au (0.5000, 0.5000, 0.9355)  2 Ni 2.87, 3 Nd 3.05-3.11, 4 Pr 3.12


(4)
Material: PrNdNiAu
Method: DFT, PBE
State: optimized geometry

Summary:
N(E_F): 3.0 states/eV/f.u.
distance to the lowest polymorph of the same formula: 0.076 eV per atom
raw total energy: -5.096 eV/atom
calculated density: 9.294 g cm⁻³
magnetization: 0.000 μB per formula unit

Lattice parameters (Å, degrees): 7.2843 7.2843 7.2843 90.00 90.00 90.00
Closest atoms and distances in Å follow each position.
Sites, in units of the cell vectors:
Pr (0.0000, 0.0000, 0.0000)  4 Ni 3.15, 4 Au 3.15
Pr (0.0000, 0.5000, 0.5000)  4 Ni 3.15, 4 Au 3.15
Pr (0.5000, 0.0000, 0.5000)  4 Ni 3.15, 4 Au 3.15
Pr (0.5000, 0.5000, 0.0000)  4 Ni 3.15, 4 Au 3.15
Nd (0.0000, 0.0000, 0.5000)  4 Ni 3.15, 4 Au 3.15
Nd (0.0000, 0.5000, 0.0000)  4 Ni 3.15, 4 Au 3.15
Nd (0.5000, 0.0000, 0.0000)  4 Ni 3.15, 4 Au 3.15
Nd (0.5000, 0.5000, 0.5000)  4 Ni 3.15, 4 Au 3.15
Ni (0.2500, 0.2500, 0.2500)  4 Pr 3.15, 4 Nd 3.15
Ni (0.2500, 0.7500, 0.7500)  4 Pr 3.15, 4 Nd 3.15
Ni (0.7500, 0.2500, 0.7500)  4 Pr 3.15, 4 Nd 3.15
Ni (0.7500, 0.7500, 0.2500)  4 Pr 3.15, 4 Nd 3.15
Au (0.2500, 0.2500, 0.7500)  4 Pr 3.15, 4 Nd 3.15
Au (0.2500, 0.7500, 0.2500)  4 Pr 3.15, 4 Nd 3.15
Au (0.7500, 0.2500, 0.2500)  4 Pr 3.15, 4 Nd 3.15
Au (0.7500, 0.7500, 0.7500)  4 Pr 3.15, 4 Nd 3.15


(5)
Material: NdPuNiAu
Method: DFT, PBE
State: optimized geometry

Summary:
N(E_F): 13.5 states/eV/f.u.
raw total energy: -7.311 eV/atom
calculated density: 11.646 g cm⁻³
magnetization: 5.734 μB per formula unit

Lattice parameters (Å, degrees): 7.1612 7.1612 7.1612 90.00 90.00 90.00
Closest atoms and distances in Å follow each position.
Sites, in units of the cell vectors:
Nd (0.0000, 0.0000, 0.0000)  4 Ni 3.10, 4 Au 3.10
Nd (0.0000, 0.5000, 0.5000)  4 Ni 3.10, 4 Au 3.10
Nd (0.5000, 0.0000, 0.5000)  4 Ni 3.10, 4 Au 3.10
Nd (0.5000, 0.5000, 0.0000)  4 Ni 3.10, 4 Au 3.10
Pu (0.0000, 0.0000, 0.5000)  4 Ni 3.10, 4 Au 3.10
Pu (0.0000, 0.5000, 0.0000)  4 Ni 3.10, 4 Au 3.10
Pu (0.5000, 0.0000, 0.0000)  4 Ni 3.10, 4 Au 3.10
Pu (0.5000, 0.5000, 0.5000)  4 Ni 3.10, 4 Au 3.10
Ni (0.2500, 0.2500, 0.7500)  4 Nd 3.10, 4 Pu 3.10
Ni (0.2500, 0.7500, 0.2500)  4 Nd 3.10, 4 Pu 3.10
Ni (0.7500, 0.2500, 0.2500)  4 Nd 3.10, 4 Pu 3.10
Ni (0.7500, 0.7500, 0.7500)  4 Nd 3.10, 4 Pu 3.10
Au (0.2500, 0.2500, 0.2500)  4 Nd 3.10, 4 Pu 3.10
Au (0.2500, 0.7500, 0.7500)  4 Pu 3.10, 4 Nd 3.10
Au (0.7500, 0.2500, 0.7500)  4 Pu 3.10, 4 Nd 3.10
Au (0.7500, 0.7500, 0.2500)  4 Pu 3.10, 4 Nd 3.10


(6)
Material: Nd2Ni4Sn3Au
Method: DFT, PBE
State: optimized geometry

Summary:
N(E_F): 5.4 states/eV/f.u.
raw total energy: -5.280 eV/atom
calculated density: 8.997 g cm⁻³
magnetization: 0.000 μB per formula unit

Lattice parameters (Å, degrees): 4.4526 4.4526 10.0208 90.00 90.00 90.00
Closest atoms and distances in Å follow each position.
Sites, in units of the cell vectors:
Nd (0.0000, 0.5000, 0.2471)  8 Ni 3.33-3.39, 7 Sn 3.37-3.72, 2 Au 3.37
Nd (0.5000, 0.0000, 0.7529)  8 Ni 3.33-3.39, 7 Sn 3.37-3.72, 2 Au 3.37
Ni (0.0000, 0.0000, 0.0000)  4 Sn 2.55
Ni (0.0000, 0.5000, 0.6287)  3 Sn 2.48-2.57, 2 Au 2.57
Ni (0.5000, 0.0000, 0.3713)  3 Sn 2.48-2.57, 2 Au 2.57
Ni (0.5000, 0.5000, 0.0000)  4 Sn 2.55
Sn (0.0000, 0.5000, 0.8759)  5 Ni 2.48-2.55
Sn (0.5000, 0.0000, 0.1241)  5 Ni 2.48-2.55
Sn (0.5000, 0.5000, 0.5000)  4 Ni 2.57
Au (0.0000, 0.0000, 0.5000)  4 Ni 2.57


(7)
Material: NdNiSnAu
Method: DFT, PBE
State: optimized geometry

Summary:
N(E_F): 2.9 states/eV/f.u.
raw total energy: -4.910 eV/atom
calculated density: 10.355 g cm⁻³
magnetization: 0.000 μB per formula unit

Lattice parameters (Å, degrees): 6.9289 6.9289 6.9289 90.00 90.00 90.00
Closest atoms and distances in Å follow each position.
Sites, in units of the cell vectors:
Nd (0.0000, 0.0000, 0.0000)  4 Ni 3.00, 4 Au 3.00
Nd (0.0000, 0.5000, 0.5000)  4 Ni 3.00, 4 Au 3.00
Nd (0.5000, 0.0000, 0.5000)  4 Ni 3.00, 4 Au 3.00
Nd (0.5000, 0.5000, 0.0000)  4 Ni 3.00, 4 Au 3.00
Ni (0.2500, 0.2500, 0.2500)  4 Sn 3.00, 4 Nd 3.00
Ni (0.2500, 0.7500, 0.7500)  4 Sn 3.00, 4 Nd 3.00
Ni (0.7500, 0.2500, 0.7500)  4 Sn 3.00, 4 Nd 3.00
Ni (0.7500, 0.7500, 0.2500)  4 Sn 3.00, 4 Nd 3.00
Sn (0.0000, 0.0000, 0.5000)  4 Au 3.00, 4 Ni 3.00
Sn (0.0000, 0.5000, 0.0000)  4 Au 3.00, 4 Ni 3.00
Sn (0.5000, 0.0000, 0.0000)  4 Au 3.00, 4 Ni 3.00
Sn (0.5000, 0.5000, 0.5000)  4 Au 3.00, 4 Ni 3.00
Au (0.2500, 0.2500, 0.7500)  4 Sn 3.00, 4 Nd 3.00
Au (0.2500, 0.7500, 0.2500)  4 Sn 3.00, 4 Nd 3.00
Au (0.7500, 0.2500, 0.2500)  4 Sn 3.00, 4 Nd 3.00
Au (0.7500, 0.7500, 0.7500)  4 Sn 3.00, 4 Nd 3.00


(8)
Material: NdTlNiAu
Method: DFT, PBE
State: optimized geometry

Summary:
N(E_F): 2.6 states/eV/f.u.
raw total energy: -4.315 eV/atom
calculated density: 11.711 g cm⁻³
magnetization: 0.000 μB per formula unit

Lattice parameters (Å, degrees): 6.9983 6.9983 6.9983 90.00 90.00 90.00
Closest atoms and distances in Å follow each position.
Sites, in units of the cell vectors:
Nd (0.0000, 0.0000, 0.0000)  4 Ni 3.03, 4 Au 3.03
Nd (0.0000, 0.5000, 0.5000)  4 Ni 3.03, 4 Au 3.03
Nd (0.5000, 0.0000, 0.5000)  4 Ni 3.03, 4 Au 3.03
Nd (0.5000, 0.5000, 0.0000)  4 Ni 3.03, 4 Au 3.03
Tl (0.0000, 0.0000, 0.5000)  4 Ni 3.03, 4 Au 3.03
Tl (0.0000, 0.5000, 0.0000)  4 Ni 3.03, 4 Au 3.03
Tl (0.5000, 0.0000, 0.0000)  4 Ni 3.03, 4 Au 3.03
Tl (0.5000, 0.5000, 0.5000)  4 Ni 3.03, 4 Au 3.03
Ni (0.2500, 0.2500, 0.7500)  4 Tl 3.03, 4 Nd 3.03
Ni (0.2500, 0.7500, 0.2500)  4 Tl 3.03, 4 Nd 3.03
Ni (0.7500, 0.2500, 0.2500)  4 Tl 3.03, 4 Nd 3.03
Ni (0.7500, 0.7500, 0.7500)  4 Tl 3.03, 4 Nd 3.03
Au (0.2500, 0.2500, 0.2500)  4 Tl 3.03, 4 Nd 3.03
Au (0.2500, 0.7500, 0.7500)  4 Tl 3.03, 4 Nd 3.03
Au (0.7500, 0.2500, 0.7500)  4 Tl 3.03, 4 Nd 3.03
Au (0.7500, 0.7500, 0.2500)  4 Tl 3.03, 4 Nd 3.03